# 1
BeB2Cl2 | Alexandria | GGA-PBE | optimized geometry; ΔE_f (raw) = 1.491 eV/atom
1.0
5.414 0.000 0.000
0.000 5.414 0.000
2.707 2.707 3.289
Cl B Be
2 2 1
direct
0.720 0.720 0.560
0.280 0.280 0.440
0.750 0.250 0.500
0.250 0.750 0.500
0.000 0.000 0.000

# 2
Tl2NiBr | Alexandria | GGA-PBE | optimized geometry; ΔE_f (raw) = 0.104 eV/atom
1.0
-3.294 -1.378 -0.591
2.614 -2.503 0.056
-1.113 -0.973 8.469
Tl Br Ni
2 1 1
direct
0.500 0.500 0.250
0.000 0.000 0.938
0.000 0.000 0.570
0.500 0.500 0.742

# 3
SmYCoPt | Alexandria | GGA-PBE | optimized geometry; formation enthalpy at 0 K = -0.58 eV per atom
1.0
4.910 0.000 0.000
2.455 4.252 0.000
2.455 1.417 4.009
Co Y Pt Sm
1 1 1 1
direct
0.250 0.250 0.250
0.500 0.500 0.500
0.750 0.750 0.750
0.000 0.000 0.000

# 4
Li2PrInPd4 | Alexandria | GGA-PBE | optimized geometry; formation enthalpy at 0 K = -0.57 eV per atom
1.0
4.532 0.000 0.000
2.266 3.925 0.000
2.266 1.308 8.087
In Li Pd Pr
1 2 4 1
direct
0.500 0.500 0.500
0.239 0.239 0.283
0.761 0.761 0.717
0.610 0.610 0.170
0.125 0.125 0.626
0.875 0.875 0.374
0.390 0.390 0.830
0.000 0.000 0.000

# 5
CoWSe | Alexandria | GGA-PBE | optimized geometry; ΔE_f (raw) = 0.665 eV/atom
1.0
-1.331 -3.453 -1.622
2.583 -3.023 -0.717
-0.149 -3.359 2.241
Se Co W
1 1 1
direct
0.750 0.750 0.750
0.500 0.500 0.500
0.000 0.000 0.000

# 6
Pr4SmEr6 | Alexandria | GGA-PBE | optimized geometry; formation enthalpy at 0 K = 0.30 eV per atom
1.0
4.368 -0.749 -8.605
-8.073 -2.983 4.429
-5.632 6.185 4.870
Er Sm Pr
6 1 4
direct
0.500 0.000 0.500
0.000 0.445 0.799
0.354 0.555 0.555
0.500 0.500 0.000
0.646 0.201 0.201
0.000 0.799 0.445
0.000 0.000 0.000
0.000 0.634 0.015
0.000 0.015 0.634
0.381 0.366 0.366
0.619 0.985 0.985